# GGA-PBE CoCuSb2Te, relaxed
data_CoCuSb2Te
_chemical_formula_sum 'Co1 Cu1 Sb2 Te1'
_cell_length_a 5.0071
_cell_length_b 5.0071
_cell_length_c 5.2107
_cell_angle_alpha 90.00
_cell_angle_beta 90.00
_cell_angle_gamma 90.00
_symmetry_space_group_name_H-M 'P 4/m m m'
_symmetry_Int_Tables_number 123
_symmetry_space_group_name_Hall '-P 4 2'
loop_
_atom_site_label
_atom_site_type_symbol
_atom_site_fract_x
_atom_site_fract_y
_atom_site_fract_z
Co1 Co 0.0000 0.0000 0.0000
Cu1 Cu 0.5000 0.5000 0.5000
Sb1 Sb 0.0000 0.5000 0.5000
Te1 Te 0.5000 0.5000 0.0000
# **Mass density**: 6.274 g/cm3
# **Total energy**: -3.582 eV/atom
# **Polymorph energy (0 for the lowest one)**: 183.3 kJ/mol of formula units
# **Size of the total moment**: 2.00 μB per cell

# GGA-PBE AlIn2Rh2, relaxed
data_AlIn2Rh2
_chemical_formula_sum 'Al2 In4 Rh4'
_cell_length_a 6.5386
_cell_length_b 6.5386
_cell_length_c 4.1567
_cell_angle_alpha 90.00
_cell_angle_beta 90.00
_cell_angle_gamma 90.00
_symmetry_space_group_name_H-M 'P 4/m b m'
_symmetry_Int_Tables_number 127
_symmetry_space_group_name_Hall '-P 4 2ab'
loop_
_atom_site_label
_atom_site_type_symbol
_atom_site_fract_x
_atom_site_fract_y
_atom_site_fract_z
Al1 Al 0.0000 0.0000 0.0000
In1 In 0.1596 0.3404 0.5000
Rh1 Rh 0.1520 0.6520 0.0000
# **Mass density**: 8.642 g/cm3
# **Total energy**: -5.261 eV/atom
# **Energy relative to the elements**: -2.4 eV per formula unit
# **Size of the total moment**: 0.00 μB per cell

# GGA-PBE TcSn3C, relaxed
data_TcSn3C
_chemical_formula_sum 'Tc1 Sn3 C1'
_cell_length_a 4.6354
_cell_length_b 4.6354
_cell_length_c 4.6354
_cell_angle_alpha 90.00
_cell_angle_beta 90.00
_cell_angle_gamma 90.00
_symmetry_space_group_name_H-M 'P m -3 m'
_symmetry_Int_Tables_number 221
_symmetry_space_group_name_Hall '-P 4 2 3'
loop_
_atom_site_label
_atom_site_type_symbol
_atom_site_fract_x
_atom_site_fract_y
_atom_site_fract_z
Tc1 Tc 0.0000 0.0000 0.0000
Sn1 Sn 0.0000 0.5000 0.5000
C1 C 0.5000 0.5000 0.5000
# **Mass density**: 7.771 g/cm3
# **Total energy**: -5.088 eV/atom
# **Energy relative to the elements**: 6.2 eV per formula unit
# **Polymorph energy (0 for the lowest one)**: 0.0 kJ/mol of formula units
# **Size of the total moment**: 1.62 μB per cell

# GGA-PBE RbGe5P4, relaxed
data_RbGe5P4
_chemical_formula_sum 'Rb2 Ge10 P8'
_cell_length_a 6.5967
_cell_length_b 10.2640
_cell_length_c 7.7636
_cell_angle_alpha 90.00
_cell_angle_beta 90.00
_cell_angle_gamma 90.00
_symmetry_space_group_name_H-M 'P m m n'
_symmetry_Int_Tables_number 59
loop_
_symmetry_equiv_pos_as_xyz
'x,y,z'
'-x,-y,-z'
'-x+1/2,-y+1/2,z'
'x+1/2,y+1/2,-z'
'x+1/2,-y,-z'
'-x+1/2,y,z'
'-x,y+1/2,-z'
'x,-y+1/2,z'
loop_
_atom_site_label
_atom_site_type_symbol
_atom_site_fract_x
_atom_site_fract_y
_atom_site_fract_z
Rb1 Rb 0.2500 0.2500 0.0369
Ge1 Ge 0.0368 0.5378 0.3478
Ge2 Ge 0.2500 0.7500 0.6350
P1 P 0.0534 0.2500 0.5463
P2 P 0.2500 0.5549 0.8069
# **Mass density**: 3.617 g/cm3
# **Total energy**: -4.546 eV/atom
# **Energy relative to the elements**: 0.2 eV per formula unit
# **Size of the total moment**: 0.00 μB per cell

# GGA-PBE CdPtBr, relaxed
data_CdPtBr
_chemical_formula_sum 'Cd4 Pt4 Br4'
_cell_length_a 6.5382
_cell_length_b 6.5382
_cell_length_c 6.5382
_cell_angle_alpha 90.00
_cell_angle_beta 90.00
_cell_angle_gamma 90.00
_symmetry_space_group_name_H-M 'F -4 3 m'
_symmetry_Int_Tables_number 216
_symmetry_space_group_name_Hall 'F -4 2 3'
loop_
_atom_site_label
_atom_site_type_symbol
_atom_site_fract_x
_atom_site_fract_y
_atom_site_fract_z
Cd1 Cd 0.0000 0.0000 0.0000
Pt1 Pt 0.2500 0.2500 0.2500
Br1 Br 0.0000 0.0000 0.5000
# **Mass density**: 9.206 g/cm3
# **Total energy**: -2.768 eV/atom
# **Polymorph energy (0 for the lowest one)**: 21.3 kJ/mol of formula units
# **Size of the total moment**: 0.00 μB per cell

# GGA-PBE Dy3Er5Tl2, relaxed
data_Dy3Er5Tl2
_chemical_formula_sum 'Dy12 Er20 Tl8'
_cell_length_a 12.7319
_cell_length_b 15.3820
_cell_length_c 6.3707
_cell_angle_alpha 90.00
_cell_angle_beta 90.00
_cell_angle_gamma 90.00
_symmetry_space_group_name_H-M 'I b a m'
_symmetry_Int_Tables_number 72
_symmetry_space_group_name_Hall '-I 2 2c'
loop_
_atom_site_label
_atom_site_type_symbol
_atom_site_fract_x
_atom_site_fract_y
_atom_site_fract_z
Dy1 Dy 0.0000 0.0000 0.2500
Dy2 Dy 0.1190 0.2261 0.0000
Er1 Er 0.0000 0.5000 0.2500
Er2 Er 0.1151 0.3351 0.5000
Er3 Er 0.2480 0.5000 0.2500
Tl1 Tl 0.1330 0.1456 0.5000
# **Mass density**: 9.224 g/cm3
# **Total energy**: -3.995 eV/atom
# **Energy relative to the elements**: 1.4 eV per formula unit
# **Size of the total moment**: 0.00 μB per cell

# GGA-PBE La3HgW, relaxed
data_La3HgW
_chemical_formula_sum 'La3 Hg1 W1'
_cell_length_a 5.5721
_cell_length_b 5.5721
_cell_length_c 5.5721
_cell_angle_alpha 90.00
_cell_angle_beta 90.00
_cell_angle_gamma 90.00
_symmetry_space_group_name_H-M 'P m -3 m'
_symmetry_Int_Tables_number 221
_symmetry_space_group_name_Hall '-P 4 2 3'
loop_
_atom_site_label
_atom_site_type_symbol
_atom_site_fract_x
_atom_site_fract_y
_atom_site_fract_z
La1 La 0.0000 0.0000 0.5000
Hg1 Hg 0.5000 0.5000 0.5000
W1 W 0.0000 0.0000 0.0000
# **Mass density**: 7.690 g/cm3
# **Total energy**: -5.313 eV/atom
# **Energy relative to the elements**: 1.5 eV per formula unit
# **Polymorph energy (0 for the lowest one)**: 0.0 kJ/mol of formula units
# **Size of the total moment**: 0.00 μB per cell

> Number 6 is which compound?

Dy3Er5Tl2